{"formula": "Mn2FeIr", "functional": "GGA-PBE", "state": "optimized geometry", "total_magnetization_mub_per_fu": 1.0, "delta_e_f_ev_per_atom": 0.102, "mass_density_g_cm3": 12.091, "lattice": [[-5.9435, -5.7288, -1.7793], [-4.0400, -6.6260, -3.3295], [-4.1161, -7.3285, -0.8131]], "species": ["Fe", "Ir", "Mn", "Mn"], "fractional_positions": [[0.5035, 0.5035, 0.5035], [0.7489, 0.7489, 0.7489], [0.2501, 0.2501, 0.2501], [0.9975, 0.9975, 0.9975]]}